A relaxed SbH2PtS crystal. Source: Alexandria, functional PBE-GGA.

Lattice parameters (Å, degrees): 12.246 3.865 3.448 90.00 92.99 90.00
Space group Cm (No. 8)
Unique sites:
Sb 0.000 0.000 0.000 x2
H 0.187 0.500 0.582 x2
H 0.362 0.000 0.471 x2
Pt 0.354 0.000 0.969 x2
S 0.225 0.500 0.961 x2

energy = -0.15870 Ha/atom
polymorph energy (0 for the lowest one) = 0 meV/atom

***

A relaxed Ho2CuTeO6 crystal. Source: Alexandria, functional PBE-GGA.

Lattice parameters (Å, degrees): 5.630 5.632 5.931 118.29 90.01 119.94
Space group P1 (No. 1)
Unique sites:
Ho 0.000 0.000 0.000 x1
Ho 0.498 0.995 0.494 x1
Cu 0.217 0.432 0.647 x1
Te 0.707 0.415 0.123 x1
O 0.079 0.504 0.326 x1
O 0.332 0.238 0.835 x1
O 0.424 0.246 0.326 x1
O 0.597 0.929 0.835 x1
O 0.820 0.899 0.324 x1
O 0.906 0.503 0.835 x1

formation energy (no corrections) = -2.101 eV/atom
energy = -0.24678 Ha/atom

***

A relaxed LiSnP2O7 crystal. Source: Alexandria, functional PBE-GGA.

Lattice parameters (Å, degrees): 7.263 8.761 9.281 90.00 112.35 90.00
Space group P2_1/c (No. 14)
Unique sites:
Li 0.201 0.051 0.318 x4
Sn 0.253 0.077 0.893 x4
P 0.028 0.722 0.960 x4
P 0.419 0.739 0.233 x4
O 0.024 0.091 0.660 x4
O 0.034 0.621 0.391 x4
O 0.111 0.222 0.449 x4
O 0.247 0.669 0.077 x4
O 0.351 0.613 0.773 x4
O 0.392 0.241 0.305 x4
O 0.454 0.608 0.359 x4

formation energy (no corrections) = -2.016 eV/atom
energy = -0.24595 Ha/atom
polymorph energy (0 for the lowest one) = 49 meV/atom

***

A relaxed Th2MnTl3Se6 crystal. Source: Alexandria, functional PBE-GGA.

Lattice parameters (Å, degrees): 7.215 12.504 8.287 90.00 107.01 90.00
Space group C2/m (No. 12)
Unique sites:
Th 0.000 0.166 0.000 x4
Mn 0.000 0.500 0.000 x2
Tl 0.000 0.000 0.500 x2
Tl 0.000 0.333 0.500 x4
Se 0.226 0.341 0.201 x8
Se 0.250 0.000 0.201 x4

formation energy (no corrections) = -0.993 eV/atom
energy = -0.19577 Ha/atom

***

A relaxed La2DyBi crystal. Source: Alexandria, functional PBE-GGA.

Lattice parameters (Å, degrees): 3.6145 3.6145 37.6956 90.00 90.00 120.00
Space group R-3m (No. 166, hexagonal axes)
Unique sites:
La 0.0000 0.0000 0.0880 x6
Dy 0.0000 0.0000 0.5000 x3
Bi 0.0000 0.0000 0.0000 x3

energy = -0.16834 Ha/atom
energy of formation = 4 meV per atom
polymorph energy (0 for the lowest one) = 454 meV/atom

***

A relaxed CaFeCo2 crystal. Source: Alexandria, functional PBE-GGA.

Lattice parameters (Å, degrees): 3.156 4.170 4.435 90.00 90.00 90.00
Space group Pmmm (No. 47)
Unique sites:
Ca 0.000 0.000 0.000 x1
Fe 0.500 0.000 0.500 x1
Co 0.000 0.500 0.500 x1
Co 0.500 0.500 0.000 x1

energy = -0.20613 Ha/atom
energy of formation = 560 meV per atom
polymorph energy (0 for the lowest one) = 408 meV/atom

***

| no. | calculated volume (Å³ per atom) | calculated density (g cm⁻³) |
| --- | --- | --- |
| 1 | 16.30 | 7.15 |
| 2 | 13.64 | 7.51 |
| 3 | 12.41 | 3.64 |
| 4 | 29.79 | 7.46 |
| 5 | 35.54 | 7.58 |
| 6 | 14.59 | 6.08 |